Record 1
Below is a relaxed CoAg crystal, with properties calculated at the GGA-PBEsol level.

The structure in CIF format:
```
data_CoAg
_symmetry_space_group_name_H-M 'I 41/a m d'
_symmetry_Int_Tables_number 141
_cell_length_a 3.788
_cell_length_b 3.788
_cell_length_c 7.523
_cell_angle_alpha 90.00
_cell_angle_beta 90.00
_cell_angle_gamma 90.00
loop_
_symmetry_equiv_pos_as_xyz
'x,y,z'
'-x,-y,-z'
'-y+1/4,x+3/4,z+1/4'
'y+1/4,-x+3/4,-z+1/4'
'-x+1/2,-y,z+1/2'
'x+1/2,y,-z+1/2'
'y+1/4,-x+1/4,z+3/4'
'-y+1/4,x+1/4,-z+3/4'
'x,-y,-z'
'-x,y,z'
'-y+1/4,-x+1/4,-z+3/4'
'y+1/4,x+1/4,z+3/4'
'-x+1/2,y,-z+1/2'
'x+1/2,-y,z+1/2'
'y+1/4,x+3/4,-z+1/4'
'-y+1/4,-x+3/4,z+1/4'
'x+1/2,y+1/2,z+1/2'
'-x+1/2,-y+1/2,-z+1/2'
'-y+3/4,x+1/4,z+3/4'
'y+3/4,-x+1/4,-z+3/4'
'-x,-y+1/2,z'
'x,y+1/2,-z'
'y+3/4,-x+3/4,z+1/4'
'-y+3/4,x+3/4,-z+1/4'
'x+1/2,-y+1/2,-z+1/2'
'-x+1/2,y+1/2,z+1/2'
'-y+3/4,-x+3/4,-z+1/4'
'y+3/4,x+3/4,z+1/4'
'-x,y+1/2,-z'
'x,-y+1/2,z'
'y+3/4,x+1/4,-z+3/4'
'-y+3/4,-x+1/4,z+3/4'
loop_
_atom_site_label
_atom_site_fract_x
_atom_site_fract_y
_atom_site_fract_z
Co1 0.000 0.250 0.375
Ag1 0.000 0.250 0.875
```

Results
energy of formation from the pure elements = 0.444 eV/atom
V = 13.49 Å³/atom

Record 2
Below is a relaxed CoAg2 crystal, with properties calculated at the GGA-PBEsol level.

The structure in CIF format:
```
data_CoAg2
_symmetry_space_group_name_H-M 'P 6/m m m'
_symmetry_Int_Tables_number 191
_symmetry_space_group_name_Hall '-P 6 2'
_cell_length_a 4.4913
_cell_length_b 4.4913
_cell_length_c 2.5954
_cell_angle_alpha 90.00
_cell_angle_beta 90.00
_cell_angle_gamma 120.00
loop_
_atom_site_label
_atom_site_fract_x
_atom_site_fract_y
_atom_site_fract_z
Co1 0.0000 0.0000 0.0000
Ag1 0.3333 0.6667 0.5000
```

Results
energy of formation from the pure elements = 0.537 eV/atom
V = 15.11 Å³/atom

Record 3
Below is a relaxed Co3Ag crystal, with properties calculated at the GGA-PBEsol level.

The structure in CIF format:
```
data_Co3Ag
_symmetry_space_group_name_H-M 'P 4/m m m'
_symmetry_Int_Tables_number 123
_symmetry_space_group_name_Hall '-P 4 2'
_cell_length_a 2.586
_cell_length_b 2.586
_cell_length_c 7.167
_cell_angle_alpha 90.00
_cell_angle_beta 90.00
_cell_angle_gamma 90.00
loop_
_atom_site_label
_atom_site_fract_x
_atom_site_fract_y
_atom_site_fract_z
Co1 0.000 0.000 0.000
Co2 0.500 0.500 0.219
Ag1 0.000 0.000 0.500
```

Results
energy of formation from the pure elements = 0.259 eV/atom
V = 11.98 Å³/atom

Record 4
Below is a relaxed CoAg5 crystal, with properties calculated at the GGA-PBEsol level.

The structure in CIF format:
```
data_CoAg5
_symmetry_space_group_name_H-M 'P 6/m m m'
_symmetry_Int_Tables_number 191
_symmetry_space_group_name_Hall '-P 6 2'
_cell_length_a 5.2059
_cell_length_b 5.2059
_cell_length_c 4.6395
_cell_angle_alpha 90.00
_cell_angle_beta 90.00
_cell_angle_gamma 120.00
loop_
_atom_site_label
_atom_site_fract_x
_atom_site_fract_y
_atom_site_fract_z
Co1 0.0000 0.0000 0.0000
Ag1 0.0000 0.5000 0.5000
Ag2 0.3333 0.6667 0.0000
```

Results
energy of formation from the pure elements = 0.628 eV/atom
offset from the most stable computed form = 0.0905 eV/atom
V = 18.15 Å³/atom

Record 5
Below is a relaxed CoAg crystal, with properties calculated at the GGA-PBEsol level.

The structure in CIF format:
```
data_CoAg
_symmetry_space_group_name_H-M 'P -6 m 2'
_symmetry_Int_Tables_number 187
_symmetry_space_group_name_Hall 'P -6 2'
_cell_length_a 2.6592
_cell_length_b 2.6592
_cell_length_c 4.4649
_cell_angle_alpha 90.00
_cell_angle_beta 90.00
_cell_angle_gamma 120.00
loop_
_atom_site_label
_atom_site_fract_x
_atom_site_fract_y
_atom_site_fract_z
Co1 0.0000 0.0000 0.0000
Ag1 0.3333 0.6667 0.5000
```

Results
energy of formation from the pure elements = 0.466 eV/atom
V = 13.67 Å³/atom

Record 6
Below is a relaxed Co3Ag crystal, with properties calculated at the GGA-PBEsol level.

The structure in CIF format:
```
data_Co3Ag
_symmetry_space_group_name_H-M 'F m -3 m'
_symmetry_Int_Tables_number 225
_symmetry_space_group_name_Hall '-F 4 2 3'
_cell_length_a 5.782
_cell_length_b 5.782
_cell_length_c 5.782
_cell_angle_alpha 90.00
_cell_angle_beta 90.00
_cell_angle_gamma 90.00
loop_
_atom_site_label
_atom_site_fract_x
_atom_site_fract_y
_atom_site_fract_z
Co1 0.000 0.000 0.000
Co2 0.250 0.250 0.250
Ag1 0.000 0.000 0.500
```

Results
energy of formation from the pure elements = 0.437 eV/atom
V = 12.08 Å³/atom

Record 7
Below is a relaxed CoAg5 crystal, with properties calculated at the GGA-PBEsol level.

The structure in CIF format:
```
data_CoAg5
_symmetry_space_group_name_H-M 'F -4 3 m'
_symmetry_Int_Tables_number 216
_symmetry_space_group_name_Hall 'F -4 2 3'
_cell_length_a 7.426
_cell_length_b 7.426
_cell_length_c 7.426
_cell_angle_alpha 90.00
_cell_angle_beta 90.00
_cell_angle_gamma 90.00
loop_
_atom_site_label
_atom_site_fract_x
_atom_site_fract_y
_atom_site_fract_z
Co1 0.000 0.000 0.000
Ag1 0.125 0.125 0.625
Ag2 0.250 0.250 0.250
```

Results
energy of formation from the pure elements = 0.538 eV/atom
offset from the most stable computed form = 0.0000 eV/atom
V = 17.06 Å³/atom

Record 8
Below is a relaxed CrCo2Ag crystal, with properties calculated at the GGA-PBEsol level.

The structure in CIF format:
```
data_CrCo2Ag
_symmetry_space_group_name_H-M 'P 4/m m m'
_symmetry_Int_Tables_number 123
_symmetry_space_group_name_Hall '-P 4 2'
_cell_length_a 3.714
_cell_length_b 3.714
_cell_length_c 3.527
_cell_angle_alpha 90.00
_cell_angle_beta 90.00
_cell_angle_gamma 90.00
loop_
_atom_site_label
_atom_site_fract_x
_atom_site_fract_y
_atom_site_fract_z
Cr1 0.000 0.000 0.000
Co1 0.000 0.500 0.500
Ag1 0.500 0.500 0.000
```

Results
energy of formation from the pure elements = 0.460 eV/atom
offset from the most stable computed form = 0.1564 eV/atom
V = 12.16 Å³/atom

Record 9
Below is a relaxed CrCoAg crystal, with properties calculated at the GGA-PBEsol level.

The structure in CIF format:
```
data_CrCoAg
_symmetry_space_group_name_H-M 'F -4 3 m'
_symmetry_Int_Tables_number 216
_symmetry_space_group_name_Hall 'F -4 2 3'
_cell_length_a 5.675
_cell_length_b 5.675
_cell_length_c 5.675
_cell_angle_alpha 90.00
_cell_angle_beta 90.00
_cell_angle_gamma 90.00
loop_
_atom_site_label
_atom_site_fract_x
_atom_site_fract_y
_atom_site_fract_z
Cr1 0.000 0.000 0.000
Co1 0.250 0.250 0.250
Ag1 0.000 0.000 0.500
```

Results
energy of formation from the pure elements = 0.897 eV/atom
offset from the most stable computed form = 0.5099 eV/atom
V = 15.23 Å³/atom

Record 10
Below is a relaxed CrCoAg crystal, with properties calculated at the GGA-PBEsol level.

The structure in CIF format:
```
data_CrCoAg
_symmetry_space_group_name_H-M 'I 4 m m'
_symmetry_Int_Tables_number 107
_symmetry_space_group_name_Hall 'I 4 -2'
_cell_length_a 2.638
_cell_length_b 2.638
_cell_length_c 10.924
_cell_angle_alpha 90.00
_cell_angle_beta 90.00
_cell_angle_gamma 90.00
loop_
_atom_site_label
_atom_site_fract_x
_atom_site_fract_y
_atom_site_fract_z
Cr1 0.000 0.000 0.000
Co1 0.000 0.000 0.374
Ag1 0.000 0.000 0.691
```

Results
energy of formation from the pure elements = 0.387 eV/atom
offset from the most stable computed form = 0.0000 eV/atom
V = 12.67 Å³/atom

Record 11
Below is a relaxed CrCo3Ag crystal, with properties calculated at the GGA-PBEsol level.

The structure in CIF format:
```
data_CrCo3Ag
_symmetry_space_group_name_H-M 'P m -3 m'
_symmetry_Int_Tables_number 221
_symmetry_space_group_name_Hall '-P 4 2 3'
_cell_length_a 4.105
_cell_length_b 4.105
_cell_length_c 4.105
_cell_angle_alpha 90.00
_cell_angle_beta 90.00
_cell_angle_gamma 90.00
loop_
_atom_site_label
_atom_site_fract_x
_atom_site_fract_y
_atom_site_fract_z
Cr1 0.000 0.000 0.000
Co1 0.000 0.000 0.500
Ag1 0.500 0.500 0.500
```

Results
energy of formation from the pure elements = 1.177 eV/atom
V = 13.83 Å³/atom

Record 12
Below is a relaxed CrCo2Ag crystal, with properties calculated at the GGA-PBEsol level.

The structure in CIF format:
```
data_CrCo2Ag
_symmetry_space_group_name_H-M 'R -3 m'
_symmetry_Int_Tables_number 166
_symmetry_space_group_name_Hall '-R 3 2"'
_cell_length_a 2.5752
_cell_length_b 2.5752
_cell_length_c 25.0184
_cell_angle_alpha 90.00
_cell_angle_beta 90.00
_cell_angle_gamma 120.00
loop_
_atom_site_label
_atom_site_fract_x
_atom_site_fract_y
_atom_site_fract_z
Cr1 0.0000 0.0000 0.0000
Co1 0.0000 0.0000 0.2584
Ag1 0.0000 0.0000 0.5000
```

Results
energy of formation from the pure elements = 0.304 eV/atom
offset from the most stable computed form = 0.0000 eV/atom
V = 11.97 Å³/atom

Record 13
Below is a relaxed CsCo3Ag crystal, with properties calculated at the GGA-PBEsol level.

The structure in CIF format:
```
data_CsCo3Ag
_symmetry_space_group_name_H-M 'P m -3 m'
_symmetry_Int_Tables_number 221
_symmetry_space_group_name_Hall '-P 4 2 3'
_cell_length_a 4.553
_cell_length_b 4.553
_cell_length_c 4.553
_cell_angle_alpha 90.00
_cell_angle_beta 90.00
_cell_angle_gamma 90.00
loop_
_atom_site_label
_atom_site_fract_x
_atom_site_fract_y
_atom_site_fract_z
Cs1 0.000 0.000 0.000
Co1 0.000 0.000 0.500
Ag1 0.500 0.500 0.500
```

Results
energy of formation from the pure elements = 2.442 eV/atom
V = 18.87 Å³/atom

Record 14
Below is a relaxed CoCuAg crystal, with properties calculated at the GGA-PBEsol level.

The structure in CIF format:
```
data_CoCuAg
_symmetry_space_group_name_H-M 'P 3 m 1'
_symmetry_Int_Tables_number 156
_cell_length_a 4.1794
_cell_length_b 4.1794
_cell_length_c 2.5728
_cell_angle_alpha 90.00
_cell_angle_beta 90.00
_cell_angle_gamma 120.00
loop_
_symmetry_equiv_pos_as_xyz
'x,y,z'
'-y,x-y,z'
'-x+y,-x,z'
'-y,-x,z'
'-x+y,y,z'
'x,x-y,z'
loop_
_atom_site_label
_atom_site_fract_x
_atom_site_fract_y
_atom_site_fract_z
Co1 0.0000 0.0000 0.0000
Cu1 0.3333 0.6667 0.2239
Ag1 0.6667 0.3333 0.5962
```

Results
energy of formation from the pure elements = 0.402 eV/atom
V = 12.97 Å³/atom

Record 15
Below is a relaxed CoCuAg2 crystal, with properties calculated at the GGA-PBEsol level.

The structure in CIF format:
```
data_CoCuAg2
_symmetry_space_group_name_H-M 'P m m m'
_symmetry_Int_Tables_number 47
_cell_length_a 2.681
_cell_length_b 3.761
_cell_length_c 5.488
_cell_angle_alpha 90.00
_cell_angle_beta 90.00
_cell_angle_gamma 90.00
loop_
_symmetry_equiv_pos_as_xyz
'x,y,z'
'-x,-y,-z'
'-x,-y,z'
'x,y,-z'
'x,-y,-z'
'-x,y,z'
'-x,y,-z'
'x,-y,z'
loop_
_atom_site_label
_atom_site_fract_x
_atom_site_fract_y
_atom_site_fract_z
Co1 0.000 0.000 0.000
Cu1 0.000 0.000 0.500
Ag1 0.500 0.500 0.249
```

Results
energy of formation from the pure elements = 0.330 eV/atom
offset from the most stable computed form = 0.0000 eV/atom
V = 13.84 Å³/atom